1.
DFT (PBEsol) results for crystalline In3Rh at its relaxed geometry.

## Properties
Formation energy from the elements: -303 meV per atom
Theoretical density: 9.2 g cm⁻³

Geometry as CIF:
```
data_In3Rh
_chemical_formula_sum 'In12 Rh4'
_cell_length_a 7.340
_cell_length_b 8.299
_cell_length_c 5.294
_cell_angle_alpha 90.00
_cell_angle_beta 90.00
_cell_angle_gamma 90.00
_symmetry_space_group_name_H-M 'P n m a'
_symmetry_Int_Tables_number 62
_symmetry_space_group_name_Hall '-P 2ac 2n'
loop_
_atom_site_label
_atom_site_type_symbol
_atom_site_fract_x
_atom_site_fract_y
_atom_site_fract_z
In1 In 0.009 0.250 0.088
In2 In 0.172 0.052 0.631
Rh1 Rh 0.128 0.750 0.430
```

=====

2.
DFT (PBEsol) results for crystalline In3Rh at its relaxed geometry.

## Properties
Formation energy from the elements: -317 meV per atom
Theoretical density: 8.6 g cm⁻³

Geometry as CIF:
```
data_In3Rh
_chemical_formula_sum 'In12 Rh4'
_cell_length_a 6.975
_cell_length_b 6.975
_cell_length_c 7.094
_cell_angle_alpha 90.00
_cell_angle_beta 90.00
_cell_angle_gamma 90.00
_symmetry_space_group_name_H-M 'P 42/m n m'
_symmetry_Int_Tables_number 136
_symmetry_space_group_name_Hall '-P 4n 2n'
loop_
_atom_site_label
_atom_site_type_symbol
_atom_site_fract_x
_atom_site_fract_y
_atom_site_fract_z
In1 In 0.000 0.500 0.000
In2 In 0.152 0.152 0.245
Rh1 Rh 0.153 0.847 0.000
```